Computed, not measured: crystalline Zr3HPb at its relaxed geometry at the PBE level of DFT.

Output
magnetization = 0.0000 μB/atom
crystal system = orthorhombic
E = -6.0439 eV per atom

abc: 8.4658 8.4658 5.5049
angles: 90.00 90.00 138.81
Sites, in units of the cell vectors:
Pb  0.1678  0.8322  0.7500
Pb  0.8322  0.1678  0.2500
Zr  0.0000  0.0000  0.5000
Zr  0.9329  0.5996  0.2500
Zr  0.5996  0.9329  0.7500
Zr  0.4004  0.0671  0.2500
Zr  0.0000  0.0000  0.0000
Zr  0.0671  0.4004  0.7500
H  0.7439  0.2561  0.7500
H  0.2561  0.7439  0.2500